1.
A plane-wave DFT calculation with PBE was carried out for a relaxed structure of HfMg3Mo. Values from VASP.

The structure in Quantum ESPRESSO input format:
```
&SYSTEM
  ibrav = 0, nat = 5, ntyp = 3
/
ATOMIC_SPECIES
Hf 178.49 Hf.upf
Mg 24.30 Mg.upf
Mo 95.94 Mo.upf
ATOMIC_POSITIONS angstrom
Hf 0.000 0.000 0.000
Mg 0.000 2.474 2.474
Mg 2.474 0.000 2.474
Mg 2.474 2.474 0.000
Mo 2.474 2.474 2.474
CELL_PARAMETERS angstrom
4.949 0.000 0.000
0.000 4.949 0.000
0.000 0.000 4.949
```

The calculation puts the formation energy at 1.2658 eV/atom. Its crystal system is cubic.

---

2.
A plane-wave DFT calculation with PBE was carried out for a relaxed structure of SrHgCl. Values from VASP.

The structure in Quantum ESPRESSO input format:
```
&SYSTEM
  ibrav = 0, nat = 6, ntyp = 3
/
ATOMIC_SPECIES
Sr 87.62 Sr.upf
Hg 200.59 Hg.upf
Cl 35.45 Cl.upf
ATOMIC_POSITIONS angstrom
Sr 0.000 0.000 0.000
Sr 3.541 0.000 4.342
Hg 0.950 0.000 6.575
Hg 3.793 0.000 7.749
Cl 2.694 0.000 1.186
Cl 6.268 0.000 3.235
CELL_PARAMETERS angstrom
3.596 -2.626 0.000
3.596 2.626 0.000
-0.816 0.000 9.815
```

The value obtained for the uncorrected formation energy is -128.5 kJ/mol of atoms. The value obtained for the polymorph energy (0 for the lowest one) is 41 meV per atom. Its crystal system is monoclinic.

---

3.
A plane-wave DFT calculation with PBE was carried out for a relaxed structure of LaTb6Sm4. Values from VASP.

The structure in Quantum ESPRESSO input format:
```
&SYSTEM
  ibrav = 0, nat = 11, ntyp = 3
/
ATOMIC_SPECIES
La 138.91 La.upf
Tb 158.93 Tb.upf
Sm 150.36 Sm.upf
ATOMIC_POSITIONS angstrom
La 0.000 0.000 0.000
Tb 3.900 0.000 0.000
Tb 1.935 -1.935 4.057
Tb 1.965 1.965 2.436
Tb 0.000 3.900 0.000
Tb -1.935 1.935 4.057
Tb 1.935 1.935 8.930
Sm 2.577 2.577 -0.968
Sm 1.323 -1.323 7.462
Sm 1.323 1.323 5.526
Sm -1.323 1.323 7.462
CELL_PARAMETERS angstrom
-3.900 3.900 6.494
3.900 -3.900 6.494
3.900 3.900 -6.494
```

The calculation puts the formation energy at 0.4204 eV/atom. Its crystal system is tetragonal.

---

4.
A plane-wave DFT calculation with PBE was carried out for a relaxed structure of NdCd3. Values from VASP.

The structure in Quantum ESPRESSO input format:
```
&SYSTEM
  ibrav = 0, nat = 4, ntyp = 2
/
ATOMIC_SPECIES
Nd 144.24 Nd.upf
Cd 112.41 Cd.upf
ATOMIC_POSITIONS angstrom
Nd 0.000 0.000 0.000
Cd 1.825 1.825 1.825
Cd 3.651 3.651 3.651
Cd 5.476 5.476 5.476
CELL_PARAMETERS angstrom
0.000 3.651 3.651
3.651 0.000 3.651
3.651 3.651 0.000
```

The calculation puts the formation energy at -0.3113 eV/atom. Its crystal system is cubic.

---

5.
A plane-wave DFT calculation with PBE was carried out for a relaxed structure of Pm3PrEr7. Values from VASP.

The structure in Quantum ESPRESSO input format:
```
&SYSTEM
  ibrav = 0, nat = 11, ntyp = 3
/
ATOMIC_SPECIES
Pm 145.00 Pm.upf
Pr 140.91 Pr.upf
Er 167.26 Er.upf
ATOMIC_POSITIONS angstrom
Pm 0.000 0.000 0.000
Pm -0.211 2.758 4.701
Pm 3.746 2.758 4.680
Pr 3.485 0.000 0.000
Er -1.730 0.000 6.282
Er -1.709 2.758 8.065
Er 1.745 2.758 1.987
Er 1.767 0.000 4.691
Er 1.790 2.758 7.394
Er 5.243 2.758 1.316
Er 5.264 0.000 3.100
CELL_PARAMETERS angstrom
6.971 0.000 0.000
0.000 5.516 0.000
-3.436 0.000 9.381
```

The calculation puts the formation energy at 0.1511 eV/atom. The value obtained for the polymorph energy (0 for the lowest one) is 0 meV per atom. Its crystal system is monoclinic.

---

6.
A plane-wave DFT calculation with PBE was carried out for a relaxed structure of Hf3BiAs. Values from VASP.

The structure in Quantum ESPRESSO input format:
```
&SYSTEM
  ibrav = 0, nat = 5, ntyp = 3
/
ATOMIC_SPECIES
Hf 178.49 Hf.upf
Bi 208.98 Bi.upf
As 74.92 As.upf
ATOMIC_POSITIONS angstrom
Hf 0.000 0.000 2.668
Hf 0.000 2.668 0.000
Hf 2.668 0.000 0.000
Bi 0.000 0.000 0.000
As 2.668 2.668 2.668
CELL_PARAMETERS angstrom
5.336 0.000 0.000
0.000 5.336 0.000
0.000 0.000 5.336
```

The calculation puts the formation energy at 1.4760 eV/atom. The value obtained for the polymorph energy (0 for the lowest one) is 1721 meV per atom. Its crystal system is cubic.

---

7.
A plane-wave DFT calculation with PBE was carried out for a relaxed structure of AcIn2. Values from VASP.

The structure in Quantum ESPRESSO input format:
```
&SYSTEM
  ibrav = 0, nat = 3, ntyp = 2
/
ATOMIC_SPECIES
Ac 227.00 Ac.upf
In 114.82 In.upf
ATOMIC_POSITIONS angstrom
Ac 0.000 0.000 0.000
In 2.811 0.000 2.092
In 5.624 0.000 2.631
CELL_PARAMETERS angstrom
4.221 -2.432 0.000
4.221 2.432 0.000
-0.005 0.000 4.723
```

The calculation puts the formation energy at -0.4529 eV/atom. The value obtained for the polymorph energy (0 for the lowest one) is 16 meV per atom. Its crystal system is monoclinic.

---

8.
A plane-wave DFT calculation with PBE was carried out for a relaxed structure of La4Dy3Ho5. Values from VASP.

The structure in Quantum ESPRESSO input format:
```
&SYSTEM
  ibrav = 0, nat = 12, ntyp = 3
/
ATOMIC_SPECIES
La 138.91 La.upf
Dy 162.50 Dy.upf
Ho 164.93 Ho.upf
ATOMIC_POSITIONS angstrom
La -0.579 0.000 3.774
La -0.426 0.000 7.413
La 12.238 0.000 0.987
La 12.391 0.000 4.625
Dy 2.462 0.000 2.029
Dy 8.143 0.000 0.000
Dy 9.350 0.000 6.370
Ho 0.000 0.000 0.000
Ho 2.603 0.000 5.245
Ho 5.719 0.000 2.467
Ho 6.093 0.000 5.932
Ho 9.209 0.000 3.154
CELL_PARAMETERS angstrom
8.143 -2.997 0.000
8.143 2.997 0.000
-4.474 0.000 8.399
```

The calculation puts the formation energy at 0.2242 eV/atom. Its crystal system is monoclinic.

---

Number 1: size of the total moment 0.01 μB per cell. Number 2: size of the total moment 0.00 μB per cell. Number 3: size of the total moment 0.00 μB per cell. Number 4: size of the total moment 0.00 μB per cell. Number 5: size of the total moment 0.00 μB per cell. Number 6: size of the total moment 0.00 μB per cell. Number 7: size of the total moment 0.00 μB per cell. Number 8: size of the total moment 0.59 μB per cell.